[1]
Material: MgAsN2
Method: DFT, PBE
State: relaxed

abc: 3.9532 3.9532 3.9532
angles: 60.00 60.00 60.00
Atoms (fractional coordinates):
As 0.5000 0.5000 0.5000
Mg 0.0000 0.0000 0.0000
N 0.2500 0.2500 0.2500
N 0.7500 0.7500 0.7500

Properties
Calculated volume: 44 Å³/cell
Offset from the most stable computed form: 872.9 meV per atom
Crystal system: cubic

[2]
Material: ScTi2Ag
Method: DFT, PBE
State: relaxed

abc: 7.5974 7.5974 6.0466
angles: 51.08 51.08 90.00
Last column: magnetic moment on the atom in μB.
Atoms (fractional coordinates):
Sc 0.5000 0.5000 0.0000  0.26
Sc 0.2500 0.7500 0.5000  0.26
Ag 0.0000 0.0000 0.0000  0.03
Ag 0.7500 0.2500 0.5000  0.03
Ti 0.6533 0.1250 0.2500  0.60
Ti 0.0967 0.6250 0.2500  0.59
Ti 0.3750 0.3467 0.7500  0.61
Ti 0.8750 0.9033 0.7500  0.60

Properties
Calculated volume: 160 Å³/cell
Offset from the most stable computed form: 150.1 meV per atom
Crystal system: tetragonal

[3]
Material: Ac2NdDyY
Method: DFT, PBE
State: relaxed

abc: 6.7607 8.9453 6.4690
angles: 90.02 90.00 90.00
Atoms (fractional coordinates):
Ac 0.7093 0.7034 0.7503
Ac 0.7093 0.2966 0.7497
Ac 0.2907 0.7034 0.2503
Ac 0.2907 0.2966 0.2497
Nd 0.5829 0.0000 0.2500
Nd 0.4171 0.0000 0.7500
Dy 0.0000 0.0000 0.0000
Dy 0.0000 0.0000 0.5000
Y 0.1806 0.5000 0.7500
Y 0.8194 0.5000 0.2500

Properties
Calculated volume: 391 Å³/cell
Crystal system: orthorhombic
E: -4.545 eV/atom

[4]
Material: CrTcRh3
Method: DFT, PBE
State: relaxed

abc: 4.4322 4.4322 4.4322
angles: 90.00 90.00 90.00
Last column: magnetic moment on the atom in μB.
Atoms (fractional coordinates):
Cr 0.0000 0.0000 0.0000  0.16
Rh 0.0000 0.5000 0.0000  0.21
Rh 0.0000 0.0000 0.5000  0.11
Rh 0.5000 0.0000 0.0000  0.39
Tc 0.5000 0.5000 0.5000  3.17

Properties
Calculated volume: 87 Å³/cell
Offset from the most stable computed form: 1213.3 meV per atom
Crystal system: cubic

[5]
Material: BeNi4Pb
Method: DFT, PBE
State: relaxed

abc: 4.8152 4.8152 4.8152
angles: 60.00 60.00 60.00
Atoms (fractional coordinates):
Be 0.0000 0.0000 0.0000
Ni 0.8775 0.3742 0.3742
Ni 0.3742 0.3742 0.8775
Ni 0.3742 0.8775 0.3742
Ni 0.3742 0.3742 0.3742
Pb 0.7500 0.7500 0.7500

Properties
Calculated volume: 79 Å³/cell
Crystal system: cubic
E: -4.849 eV/atom

[6]
Material: Dy6Tm2Sc3In
Method: DFT, PBE
State: relaxed

abc: 5.9564 5.9564 11.3044
angles: 95.04 95.04 120.00
Atoms (fractional coordinates):
Dy 0.9144 0.5836 0.7440
Dy 0.7549 0.7549 0.2567
Dy 0.0856 0.4164 0.2560
Dy 0.5836 0.9144 0.7440
Dy 0.2451 0.2451 0.7433
Dy 0.4164 0.0856 0.2560
Tm 0.3336 0.6664 0.0000
Tm 0.6664 0.3336 0.0000
Sc 0.1668 0.8332 0.5000
Sc 0.8332 0.1668 0.5000
Sc 0.5000 0.5000 0.5000
In 0.0000 0.0000 0.0000

Properties
Calculated volume: 342 Å³/cell
Crystal system: monoclinic
E: -4.882 eV/atom